[1]
Density functional theory data (GGA-PBE) for an optimized crystal structure of YTmBeCu.

a = 4.843 Å, b = 4.843 Å, c = 4.843 Å
α = 60.00°, β = 60.00°, γ = 60.00°
Atoms (fractional coordinates):
Y  0.000  0.000  0.000
Tm  0.500  0.500  0.500
Be  0.250  0.250  0.250
Cu  0.750  0.750  0.750

## Properties
The space group is F-43m. The value obtained for the density of states at the Fermi level is 3.01 states/eV/f.u.

[2]
Density functional theory data (GGA-PBE) for an optimized crystal structure of Tm2BeZnCu6.

a = 5.848 Å, b = 5.861 Å, c = 6.378 Å
α = 63.07°, β = 62.85°, γ = 60.12°
Atoms (fractional coordinates):
Tm  0.219  0.220  0.342
Tm  0.781  0.780  0.658
Be  0.000  0.000  0.000
Zn  0.500  0.500  0.500
Cu  0.241  0.240  0.845
Cu  0.241  0.667  0.852
Cu  0.329  0.762  0.152
Cu  0.671  0.238  0.848
Cu  0.759  0.333  0.148
Cu  0.759  0.760  0.155

## Properties
The space group is P-1. The value obtained for the density of states at the Fermi level is 6.08 states/eV/f.u.

[3]
Density functional theory data (GGA-PBE) for an optimized crystal structure of TmBeZn6Cu.

a = 7.567 Å, b = 7.567 Å, c = 7.567 Å
α = 127.87°, β = 113.47°, γ = 89.31°
Atoms (fractional coordinates):
Tm  0.450  0.200  0.250
Tm  0.550  0.800  0.750
Be  0.000  0.000  0.000
Be  0.500  0.000  0.500
Zn  0.125  0.423  0.299
Zn  0.125  0.826  0.703
Zn  0.171  0.921  0.250
Zn  0.249  0.499  0.750
Zn  0.377  0.174  0.799
Zn  0.377  0.577  0.203
Zn  0.623  0.423  0.797
Zn  0.623  0.826  0.201
Zn  0.751  0.501  0.250
Zn  0.829  0.079  0.750
Zn  0.875  0.174  0.297
Zn  0.875  0.577  0.701
Cu  0.000  0.000  0.500
Cu  0.000  0.500  0.000

## Properties
The space group is Imma. The value obtained for the density of states at the Fermi level is 4.75 states/eV/f.u.

| no. | total energy (eV per atom) | energy of formation from the pure elements (kJ/mol of formula units) | total magnetic moment (μB/cell) |
| --- | --- | --- | --- |
| 1 | -4.770 | -31 | 0.0 |
| 2 | -3.923 | -68 | 0.0 |
| 3 | -2.157 | 50 | 0.0 |